Density functional theory data (PBE) for a relaxed La4Ga2Br crystal.

a = 4.5059 Å, b = 6.8610 Å, c = 7.7537 Å
α = 76.51°, β = 73.11°, γ = 70.83°
Fractional coordinates of all 7 atoms:
Br: 0.0000 0.0000 0.0000
Ga: 0.3872 0.5559 0.6696
Ga: 0.6128 0.4441 0.3304
La: 0.0899 0.2168 0.6033
La: 0.9101 0.7832 0.3967
La: 0.3118 0.2845 0.0919
La: 0.6882 0.7155 0.9081

## Properties
Its energy relative to the elements, uncorrected is -0.711 eV per atom. The space group is C2/m (12). The total energy comes out at -4.63 eV/atom.